1.
Al2TeBr | SCAN | single point on PBEsol structure

Values from the calculation:
**Offset from the most stable computed form**: 0 meV per atom
**Size of the total moment**: 0.00 Bohr magnetons per cell
**Space-group type**: P2/m (10)

Cell lengths 3.784, 5.318, 5.960 Å; angles 97.41, 90.00, 90.00 degrees
Fractional coordinates of all 4 atoms:
Al (0.000, 0.369, 0.174)
Al (0.000, 0.631, 0.826)
Br (0.500, 0.000, 0.000)
Te (0.500, 0.500, 0.500)

---

2.
AlF3 | SCAN | single point on PBEsol structure

Values from the calculation:
**Size of the total moment**: 0.00 Bohr magnetons per cell
**Total energy**: -33.7 eV/f.u.
**Space-group type**: Pm-3m (221)

Cell lengths 3.605, 3.605, 3.605 Å; angles 90.00, 90.00, 90.00 degrees
Fractional coordinates of all 4 atoms:
F (0.500, 0.000, 0.000)
F (0.000, 0.500, 0.000)
F (0.000, 0.000, 0.500)
Al (0.000, 0.000, 0.000)

---

3.
Mg2AlW | SCAN | single point on PBEsol structure

Values from the calculation:
**Size of the total moment**: 0.39 Bohr magnetons per cell
**Calculated formation energy**: 1.333 eV/f.u.
**Space-group type**: P4/mmm (123)

Cell lengths 3.927, 3.927, 4.343 Å; angles 90.00, 90.00, 90.00 degrees
Each line ends with the local moment (μB).
Fractional coordinates of all 4 atoms:
W (0.500, 0.500, 0.500)  0.34
Mg (0.000, 0.500, 0.000)  0.00
Mg (0.500, 0.000, 0.000)  0.00
Al (0.000, 0.000, 0.500)  -0.01

---

4.
NaLa2TeF | SCAN | single point on PBEsol structure

Values from the calculation:
**Size of the total moment**: 1.60 Bohr magnetons per cell
**Total energy**: -134.2 eV/f.u.
**Space-group type**: P4/mmm (123)

Cell lengths 4.588, 6.157, 6.157 Å; angles 90.00, 90.00, 90.00 degrees
Each line ends with the local moment (μB).
Fractional coordinates of all 5 atoms:
Na (0.500, 0.500, 0.500)  -0.01
Te (0.000, 0.000, 0.000)  0.04
La (0.000, 0.500, 0.000)  -0.27
La (0.000, 0.000, 0.500)  -0.27
F (0.500, 0.000, 0.000)  0.00

---

Look up the size of the total moment of the first one. 0.00 Bohr magnetons per cell

---

size of the total moment of number 4 (NaLa2TeF)? 1.60 Bohr magnetons per cell